[1]
A relaxed structure of BaCu2Sn2. Source: the Alexandria database, functional PBE.

Calculated values
Symmetry   C2/c
Calculated density   6.26 g/cm3
Total magnetization   0.0 μB/cell
Calculated formation energy   -246 meV/atom

a = 6.957 Å, b = 6.791 Å, c = 7.418 Å
α = 76.15°, β = 62.14°, γ = 59.19°
Sites, in units of the cell vectors:
Cu: 0.186 0.129 0.250
Cu: 0.437 0.627 0.750
Cu: 0.814 0.871 0.750
Cu: 0.563 0.373 0.250
Sn: 0.510 0.248 0.983
Sn: 0.490 0.752 0.017
Sn: 0.258 0.752 0.483
Sn: 0.742 0.248 0.517
Ba: 0.125 0.251 0.750
Ba: 0.875 0.749 0.250

[2]
A relaxed structure of Ba3CuSn. Source: the Alexandria database, functional PBE.

Calculated values
Symmetry   Pm-3m
Calculated density   4.50 g/cm3
Total magnetization   0.0 μB/cell
Energy above the most stable polymorph in this dataset   0 meV per atom
Calculated formation energy   -79 meV/atom

a = 6.028 Å, b = 6.028 Å, c = 6.028 Å
α = 90.00°, β = 90.00°, γ = 90.00°
Sites, in units of the cell vectors:
Cu: 0.000 0.000 0.000
Ba: 0.000 0.500 0.000
Ba: 0.000 0.000 0.500
Ba: 0.500 0.000 0.000
Sn: 0.500 0.500 0.500

[3]
A relaxed structure of BaCu2Sn2. Source: the Alexandria database, functional PBE.

Calculated values
Symmetry   P4/mbm
Calculated density   7.07 g/cm3
Total magnetization   0.0 μB/cell
Calculated formation energy   -28 meV/atom

a = 8.457 Å, b = 8.457 Å, c = 3.296 Å
α = 90.00°, β = 90.00°, γ = 90.00°
Sites, in units of the cell vectors:
Sn: 0.841 0.341 0.500
Sn: 0.159 0.659 0.500
Sn: 0.659 0.841 0.500
Sn: 0.341 0.159 0.500
Cu: 0.889 0.611 0.000
Cu: 0.611 0.111 0.000
Cu: 0.389 0.889 0.000
Cu: 0.111 0.389 0.000
Ba: 0.000 0.000 0.000
Ba: 0.500 0.500 0.000

[4]
A relaxed structure of Ba2Cu2Sn. Source: the Alexandria database, functional PBE.

Calculated values
Symmetry   P4/mbm
Calculated density   5.81 g/cm3
Total magnetization   0.0 μB/cell
Calculated formation energy   -168 meV/atom

a = 8.142 Å, b = 8.142 Å, c = 4.485 Å
α = 90.00°, β = 90.00°, γ = 90.00°
Sites, in units of the cell vectors:
Cu: 0.893 0.607 0.000
Cu: 0.107 0.393 0.000
Cu: 0.607 0.107 0.000
Cu: 0.393 0.893 0.000
Ba: 0.188 0.688 0.500
Ba: 0.688 0.812 0.500
Ba: 0.812 0.312 0.500
Ba: 0.312 0.188 0.500
Sn: 0.000 0.000 0.000
Sn: 0.500 0.500 0.000

[5]
A relaxed structure of Ba3Cu3Sn8. Source: the Alexandria database, functional PBE.

Calculated values
Symmetry   C2/m
Calculated density   6.41 g/cm3
Total magnetization   0.0 μB/cell
Calculated formation energy   -320 meV/atom

a = 4.674 Å, b = 9.496 Å, c = 10.790 Å
α = 60.73°, β = 77.49°, γ = 75.75°
Sites, in units of the cell vectors:
Ba: 0.716 0.251 0.316
Ba: 0.000 0.000 0.000
Ba: 0.284 0.749 0.684
Sn: 0.887 0.811 0.415
Sn: 0.531 0.652 0.286
Sn: 0.181 0.554 0.085
Sn: 0.624 0.999 0.753
Sn: 0.113 0.189 0.585
Sn: 0.819 0.446 0.915
Sn: 0.376 0.001 0.247
Sn: 0.469 0.348 0.714
Cu: 0.342 0.295 0.021
Cu: 0.658 0.705 0.979
Cu: 0.000 0.500 0.500

[6]
A relaxed structure of Ba2Cu3Sn5. Source: the Alexandria database, functional PBE.

Calculated values
Symmetry   Ibam
Calculated density   6.83 g/cm3
Total magnetization   0.0 μB/cell
Calculated formation energy   -363 meV/atom

a = 6.754 Å, b = 9.436 Å, c = 9.436 Å
α = 72.95°, β = 69.03°, γ = 69.03°
Sites, in units of the cell vectors:
Sn: 0.891 0.973 0.246
Sn: 0.750 0.500 0.500
Sn: 0.609 0.754 0.027
Sn: 0.992 0.258 0.258
Sn: 0.109 0.027 0.754
Sn: 0.391 0.246 0.973
Sn: 0.250 0.500 0.500
Sn: 0.508 0.742 0.742
Sn: 0.492 0.258 0.258
Sn: 0.008 0.742 0.742
Cu: 0.623 0.503 0.251
Cu: 0.123 0.251 0.503
Cu: 0.877 0.749 0.497
Cu: 0.750 0.000 0.000
Cu: 0.250 0.000 0.000
Cu: 0.377 0.497 0.749
Ba: 0.629 0.117 0.625
Ba: 0.871 0.375 0.883
Ba: 0.371 0.883 0.375
Ba: 0.129 0.625 0.117

- Number 5 is which compound?
  Ba3Cu3Sn8

- Look up the calculated density of the first one.
  6.26 g/cm3

- What is the total magnetization in the fourth record?
  0.0 μB/cell

- Which value of total magnetization does entry 2 give?
  0.0 μB/cell